# Ca2CO6 | the Alexandria database | GGA-PBE | optimized geometry
data_Ca2CO6
_chemical_formula_sum 'Ca4 C2 O12'
_symmetry_space_group_name_H-M 'P 1'
_symmetry_Int_Tables_number 1
_symmetry_space_group_name_Hall 'P 1'
_cell_length_a 4.744
_cell_length_b 4.744
_cell_length_c 9.804
_cell_angle_alpha 90.00
_cell_angle_beta 90.00
_cell_angle_gamma 90.00
loop_
_atom_site_label
_atom_site_type_symbol
_atom_site_fract_x
_atom_site_fract_y
_atom_site_fract_z
_atom_site_occupancy
Ca1 Ca 0.000 0.000 0.165 1
Ca2 Ca 0.000 0.000 0.835 1
Ca3 Ca 0.500 0.500 0.335 1
Ca4 Ca 0.500 0.500 0.665 1
C1 C 0.000 0.000 0.500 1
C2 C 0.500 0.500 0.000 1
O1 O 0.164 0.164 0.380 1
O2 O 0.164 0.164 0.620 1
O3 O 0.233 0.767 0.500 1
O4 O 0.267 0.267 0.000 1
O5 O 0.336 0.664 0.120 1
O6 O 0.336 0.664 0.880 1
O7 O 0.664 0.336 0.120 1
O8 O 0.664 0.336 0.880 1
O9 O 0.733 0.733 0.000 1
O10 O 0.767 0.233 0.500 1
O11 O 0.836 0.836 0.380 1
O12 O 0.836 0.836 0.620 1
# Total moment, μB per atom: 0.450
# ΔE_f (raw), eV per formula unit: -7.2
# Symmetry: P4_2/mnm
# E, eV/atom: -5.5775